This record from Alexandria describes a crystal of ZnFeCo3 relaxed with PBEsol. The functional is SCAN.

## Properties
Its symmetry is Pm-3m. The value obtained for the polymorph energy (0 for the lowest one) is 142 meV/atom. The calculation puts the density of states at the Fermi level at 0.957 states/eV per atom. The calculation puts the total energy at -15.401 eV per atom. The crystal system is cubic. For the energy of formation from the pure elements, the calculation gives 1310 meV per atom.

Unit cell a=4.187 b=4.187 c=4.187 alpha=90.00 beta=90.00 gamma=90.00
Fractional coordinates of all 5 atoms:
Zn  0.000  0.000  0.000
Co  0.000  0.500  0.000
Co  0.000  0.000  0.500
Co  0.500  0.000  0.000
Fe  0.500  0.500  0.500


This record from Alexandria describes a crystal of ZnFeCo3 relaxed with PBEsol. The functional is SCAN.

## Properties
Its symmetry is Pm-3m. The value obtained for the polymorph energy (0 for the lowest one) is 0 meV/atom. The calculation puts the density of states at the Fermi level at 0.920 states/eV per atom. The calculation puts the total energy at -15.544 eV per atom. The crystal system is cubic. For the energy of formation from the pure elements, the calculation gives 1168 meV per atom.

Unit cell a=4.152 b=4.152 c=4.152 alpha=90.00 beta=90.00 gamma=90.00
Fractional coordinates of all 5 atoms:
Zn  0.500  0.500  0.500
Co  0.000  0.500  0.000
Co  0.000  0.000  0.500
Co  0.500  0.000  0.000
Fe  0.000  0.000  0.000


This record from Alexandria describes a crystal of ZnFeCo2 relaxed with PBEsol. The functional is SCAN.

## Properties
Its symmetry is Immm. The calculation puts the density of states at the Fermi level at 0.666 states/eV per atom. The calculation puts the total energy at -16.592 eV per atom. The crystal system is orthorhombic. For the energy of formation from the pure elements, the calculation gives -29 meV per atom.

Unit cell a=2.797 b=4.065 c=4.648 alpha=115.93 beta=107.51 gamma=90.00
Fractional coordinates of all 4 atoms:
Zn  0.000  0.500  0.000
Co  0.759  0.759  0.519
Co  0.241  0.241  0.481
Fe  0.500  0.000  0.000


This record from Alexandria describes a crystal of ZnFeCo2 relaxed with PBEsol. The functional is SCAN.

## Properties
Its symmetry is Pmm2. The calculation puts the density of states at the Fermi level at 0.698 states/eV per atom. The calculation puts the total energy at -16.561 eV per atom. The crystal system is orthorhombic. For the energy of formation from the pure elements, the calculation gives 3 meV per atom.

Unit cell a=2.498 b=3.569 c=4.984 alpha=90.00 beta=90.00 gamma=90.00
Fractional coordinates of all 4 atoms:
Zn  0.000  0.500  0.754
Co  0.500  0.000  0.009
Co  0.000  0.500  0.249
Fe  0.500  0.000  0.488


This record from Alexandria describes a crystal of ZnFeCo2 relaxed with PBEsol. The functional is SCAN.

## Properties
Its symmetry is Cmmm. The calculation puts the density of states at the Fermi level at 0.502 states/eV per atom. The calculation puts the total energy at -16.629 eV per atom. The crystal system is orthorhombic. For the energy of formation from the pure elements, the calculation gives -66 meV per atom.

Unit cell a=2.457 b=2.457 c=7.921 alpha=90.00 beta=90.00 gamma=109.54
Fractional coordinates of all 4 atoms:
Zn  0.500  0.500  0.000
Co  0.000  0.000  0.260
Co  0.000  0.000  0.740
Fe  0.500  0.500  0.500


This record from Alexandria describes a crystal of ZnFeCo2 relaxed with PBEsol. The functional is SCAN.

## Properties
Its symmetry is C2/m. The calculation puts the density of states at the Fermi level at 0.663 states/eV per atom. The calculation puts the total energy at -16.554 eV per atom. The crystal system is monoclinic. For the energy of formation from the pure elements, the calculation gives 9 meV per atom.

Unit cell a=2.523 b=4.277 c=4.373 alpha=100.43 beta=90.00 gamma=107.16
Fractional coordinates of all 4 atoms:
Zn  0.500  0.000  0.000
Co  0.745  0.490  0.742
Co  0.255  0.510  0.258
Fe  0.000  0.000  0.500


This record from Alexandria describes a crystal of Zr4FeCo relaxed with PBEsol. The functional is SCAN.

## Properties
Its symmetry is I422. The calculation puts the density of states at the Fermi level at 0.793 states/eV per atom. The calculation puts the total energy at -26.517 eV per atom. The crystal system is tetragonal. For the energy of formation from the pure elements, the calculation gives -146 meV per atom.

Unit cell a=5.190 b=5.190 c=5.190 alpha=106.67 beta=106.67 gamma=115.24
Fractional coordinates of all 6 atoms:
Co  0.000  0.000  0.000
Fe  0.500  0.500  0.000
Zr  0.073  0.927  0.500
Zr  0.427  0.573  0.500
Zr  0.927  0.427  0.854
Zr  0.573  0.073  0.146


This record from Alexandria describes a crystal of ZrFe2Co relaxed with PBEsol. The functional is SCAN.

## Properties
Its symmetry is R-3m. The calculation puts the density of states at the Fermi level at 0.726 states/eV per atom. The calculation puts the total energy at -20.787 eV per atom. The crystal system is trigonal. For the energy of formation from the pure elements, the calculation gives 279 meV per atom.

Unit cell a=2.724 b=2.724 c=8.640 alpha=80.93 beta=80.93 gamma=60.00
Fractional coordinates of all 4 atoms:
Co  0.000  0.000  0.000
Fe  0.261  0.261  0.216
Fe  0.739  0.739  0.784
Zr  0.500  0.500  0.500


This record from Alexandria describes a crystal of ZrFeCo2 relaxed with PBEsol. The functional is SCAN.

## Properties
Its symmetry is C2/m. The calculation puts the density of states at the Fermi level at 0.770 states/eV per atom. The calculation puts the total energy at -20.707 eV per atom. The crystal system is monoclinic. For the energy of formation from the pure elements, the calculation gives 152 meV per atom.

Unit cell a=2.695 b=4.748 c=4.748 alpha=114.78 beta=100.59 gamma=100.59
Fractional coordinates of all 4 atoms:
Co  0.000  0.000  0.500
Co  0.000  0.500  0.000
Fe  0.500  0.500  0.500
Zr  0.500  0.000  0.000


This record from Alexandria describes a crystal of ZrFe2Co relaxed with PBEsol. The functional is SCAN.

## Properties
Its symmetry is Pm. The calculation puts the density of states at the Fermi level at 0.652 states/eV per atom. The calculation puts the total energy at -21.025 eV per atom. The crystal system is monoclinic. For the energy of formation from the pure elements, the calculation gives 41 meV per atom.

Unit cell a=2.742 b=3.812 c=5.248 alpha=90.00 beta=104.25 gamma=90.00
Fractional coordinates of all 4 atoms:
Co  0.563  0.500  0.787
Fe  0.003  0.000  0.002
Fe  0.431  0.500  0.208
Zr  0.003  0.000  0.503


This record from Alexandria describes a crystal of ZrFe2Co2 relaxed with PBEsol. The functional is SCAN.

## Properties
Its symmetry is I4/mmm. The calculation puts the density of states at the Fermi level at 0.499 states/eV per atom. The calculation puts the total energy at -20.390 eV per atom. The crystal system is tetragonal. For the energy of formation from the pure elements, the calculation gives -77 meV per atom.

Unit cell a=3.702 b=3.702 c=5.524 alpha=109.58 beta=109.58 gamma=90.00
Fractional coordinates of all 5 atoms:
Co  0.613  0.613  0.226
Co  0.387  0.387  0.774
Fe  0.250  0.750  0.500
Fe  0.750  0.250  0.500
Zr  0.000  0.000  0.000


This record from Alexandria describes a crystal of ZrFeCo2 relaxed with PBEsol. The functional is SCAN.

## Properties
Its symmetry is P2/m. The calculation puts the density of states at the Fermi level at 0.848 states/eV per atom. The calculation puts the total energy at -20.817 eV per atom. The crystal system is monoclinic. For the energy of formation from the pure elements, the calculation gives 42 meV per atom.

Unit cell a=2.706 b=3.790 c=5.263 alpha=90.00 beta=103.64 gamma=90.00
Fractional coordinates of all 4 atoms:
Co  0.082  0.000  0.791
Co  0.918  0.000  0.209
Fe  0.500  0.500  0.000
Zr  0.500  0.500  0.500


Please write out number 9 again, unchanged.
This record from Alexandria describes a crystal of ZrFeCo2 relaxed with PBEsol. The functional is SCAN.

## Properties
Its symmetry is C2/m. The calculation puts the density of states at the Fermi level at 0.770 states/eV per atom. The calculation puts the total energy at -20.707 eV per atom. The crystal system is monoclinic. For the energy of formation from the pure elements, the calculation gives 152 meV per atom.

Unit cell a=2.695 b=4.748 c=4.748 alpha=114.78 beta=100.59 gamma=100.59
Fractional coordinates of all 4 atoms:
Co  0.000  0.000  0.500
Co  0.000  0.500  0.000
Fe  0.500  0.500  0.500
Zr  0.500  0.000  0.000


Q: The lowest energy of formation from the pure elements belongs to which entry?
A: Zr4FeCo


Repeat the second record exactly.
This record from Alexandria describes a crystal of ZnFeCo3 relaxed with PBEsol. The functional is SCAN.

## Properties
Its symmetry is Pm-3m. The value obtained for the polymorph energy (0 for the lowest one) is 0 meV/atom. The calculation puts the density of states at the Fermi level at 0.920 states/eV per atom. The calculation puts the total energy at -15.544 eV per atom. The crystal system is cubic. For the energy of formation from the pure elements, the calculation gives 1168 meV per atom.

Unit cell a=4.152 b=4.152 c=4.152 alpha=90.00 beta=90.00 gamma=90.00
Fractional coordinates of all 5 atoms:
Zn  0.500  0.500  0.500
Co  0.000  0.500  0.000
Co  0.000  0.000  0.500
Co  0.500  0.000  0.000
Fe  0.000  0.000  0.000


Q: What is the energy of formation from the pure elements in the twelfth record?
A: 42 meV per atom